Entry 1:
The following is a GGA-PBE calculation of a relaxed CaAc3Nd3 crystal, from the Alexandria database.

Summary:
Final energy (eV per atom): -4.03
Spin magnetization (μB/atom): 0.001
Energy of formation from the pure elements (meV/atom): 58
Density (g/cm³): 6.80

abc: 10.2352 10.2352 6.2127
angles: 90.00 90.00 120.00
Space group P6_3/m (No. 176)
Asymmetric unit:
Ca (0.3333, 0.6667, 0.2500)
Ac (0.0441, 0.2439, 0.2500)
Nd (0.0981, 0.4811, 0.7500)

=====

Entry 2:
The following is a GGA-PBE calculation of a relaxed MnAlV2 crystal, from the Alexandria database.

Summary:
Final energy (eV per atom): -7.50
Spin magnetization (μB/atom): 0.000
Energy of formation from the pure elements (meV/atom): 292
Density (g/cm³): 5.36

abc: 6.733 6.733 5.024
angles: 90.00 90.00 90.00
Space group I-42d (No. 122)
Asymmetric unit:
Mn (0.000, 0.000, 0.000)
Al (0.000, 0.000, 0.500)
V (0.199, 0.250, 0.125)